No. 1
First-principles (PBE-GGA) data for a relaxed TcP2PdO crystal, as listed in Alexandria via LeMat-Bulk.

Lattice parameters (Å, degrees): 4.734 4.734 3.656 90.00 90.00 90.00
Positions (direct):
O: 0.000 0.000 0.500
P: 0.000 0.500 0.000
P: 0.500 0.000 0.000
Tc: 0.000 0.000 0.000
Pd: 0.500 0.500 0.500

The calculation puts the energy above the most stable polymorph in this dataset at 0 meV/atom. For the energy relative to the elements, uncorrected, the calculation gives 0.012 eV/atom. Its symmetry is P4/mmm, No. 123.

=====

No. 2
First-principles (PBE-GGA) data for a relaxed K4LiTl4 crystal, as listed in Alexandria via LeMat-Bulk.

Lattice parameters (Å, degrees): 6.440 9.542 6.440 70.28 90.00 109.72
Positions (direct):
K: 0.201 0.797 0.405
K: 0.595 0.797 0.799
K: 0.405 0.203 0.595
K: 0.799 0.203 0.201
Li: 0.000 0.000 0.000
Tl: 0.377 0.384 0.993
Tl: 0.007 0.384 0.623
Tl: 0.993 0.616 0.007
Tl: 0.623 0.616 0.377

As for the final energy: -1.70 eV/atom. Its symmetry is I-42m, No. 121.

=====

Repeat the first record exactly.
First-principles (PBE-GGA) data for a relaxed TcP2PdO crystal, as listed in Alexandria via LeMat-Bulk.

Lattice parameters (Å, degrees): 4.734 4.734 3.656 90.00 90.00 90.00
Positions (direct):
O: 0.000 0.000 0.500
P: 0.000 0.500 0.000
P: 0.500 0.000 0.000
Tc: 0.000 0.000 0.000
Pd: 0.500 0.500 0.500

The calculation puts the energy above the most stable polymorph in this dataset at 0 meV/atom. For the energy relative to the elements, uncorrected, the calculation gives 0.012 eV/atom. Its symmetry is P4/mmm, No. 123.